A plane-wave DFT calculation with PBE was carried out for a relaxed structure of Li3Nd2InNi12.

Output
spin magnetization = 0.000 μB per atom
ΔH_f (0 K) = 0.130 eV/atom
density of states at the Fermi level = 25.1 states/eV/f.u.

Cell and atoms, written as extended XYZ:
```
18
Lattice="9.151 1.825 1.295 6.106 7.056 1.295 6.106 3.554 6.231" Properties=species:S:1:pos:R:3 pbc="T T T"
Li 4.576 0.913 0.647
Li 3.053 3.528 0.647
Li 3.053 1.777 3.116
Nd 13.615 7.925 5.621
Nd 7.748 4.510 3.199
In 0.000 0.000 0.000
Ni 11.209 6.524 6.052
Ni 16.101 9.372 5.142
Ni 14.866 10.074 7.145
Ni 12.378 5.860 4.157
Ni 16.101 7.952 7.145
Ni 11.209 7.869 4.157
Ni 10.155 5.911 2.768
Ni 5.262 3.063 3.678
Ni 6.498 2.362 1.675
Ni 8.986 6.575 4.664
Ni 5.262 4.484 1.675
Ni 10.155 4.566 4.664
```